*a*
A plane-wave DFT calculation with PBE-GGA was carried out for a geometry-optimized GeHIN2 structure.

Lattice parameters (Å, degrees): 3.6118 3.6118 7.6639 90.00 90.00 90.00
Atoms (fractional coordinates):
Ge 0.0000 0.0000 0.0000
H 0.5000 0.5000 0.5000
I 0.0000 0.0000 0.5000
N 0.0000 0.5000 0.0000
N 0.5000 0.0000 0.0000

Results
Total magnetic moment = 0.000 μB per formula unit
Density of states at the Fermi level = 3.0 states/eV/f.u.

---

*b*
A plane-wave DFT calculation with PBE-GGA was carried out for a geometry-optimized GeHIN2 structure.

Lattice parameters (Å, degrees): 4.3376 4.3376 3.5387 90.00 90.00 90.00
Atoms (fractional coordinates):
Ge 0.0000 0.0000 0.0000
H 0.5000 0.5000 0.5000
I 0.5000 0.5000 0.0000
N 0.0000 0.5000 0.5000
N 0.5000 0.0000 0.5000

Results
Total magnetic moment = 1.442 μB per formula unit
Density of states at the Fermi level = 2.6 states/eV/f.u.

---

Order of stability, best first: *a*, *b*